First-principles (PBE) data for crystalline RbGaAs2Os at its relaxed geometry, as listed in Alexandria.

electronic total energy: -4.3222 eV per atom
total magnetic moment: 0.000 μB/f.u.
density of states at the Fermi level: 3.8 states/eV/f.u.

Cell lengths 4.781, 4.781, 6.345 Å; angles 90.00, 90.00, 90.00 degrees
Positions (direct):
Rb 0.000 0.000 0.000
Ga 0.500 0.500 0.000
As 0.000 0.500 0.500
As 0.500 0.000 0.500
Os 0.000 0.000 0.500